# ZrScGa

ZrScGa after structural relaxation (PBE-GGA, OQMD via LeMat-Bulk).

Computed properties:
- Raw total energy: -5.48 eV/atom
- Excess energy over the best structure of this formula in the dataset: 0 meV per atom
- Size of the total moment: 6.6 μB/cell

a = 6.6502 Å, b = 6.6502 Å, c = 6.6502 Å
α = 90.00°, β = 90.00°, γ = 90.00°
Positions (direct):
Zr (0.0000, 0.0000, 0.0000)
Zr (0.0000, 0.5000, 0.5000)
Zr (0.5000, 0.0000, 0.5000)
Zr (0.5000, 0.5000, 0.0000)
Sc (0.2500, 0.2500, 0.2500)
Sc (0.2500, 0.7500, 0.7500)
Sc (0.7500, 0.2500, 0.7500)
Sc (0.7500, 0.7500, 0.2500)
Ga (0.2500, 0.2500, 0.7500)
Ga (0.2500, 0.7500, 0.2500)
Ga (0.7500, 0.2500, 0.2500)
Ga (0.7500, 0.7500, 0.7500)